{
  "formula": "Sr4MgFe3O12",
  "functional": "PBE+U",
  "state": "relaxed",
  "lattice": [[-3.9239, 3.9239, 3.9239], [3.9239, -3.9239, 3.9239], [3.9239, 3.9239, -3.9239]],
  "species": ["Sr", "Sr", "Sr", "Sr", "Mg", "Fe", "Fe", "Fe", "O", "O", "O", "O", "O", "O", "O", "O", "O", "O", "O", "O"],
  "frac_coords": [[0.0000, 0.0000, 0.5000], [0.0000, 0.5000, 0.0000], [0.5000, 0.0000, 0.0000], [0.5000, 0.5000, 0.5000], [0.0000, 0.0000, 0.0000], [0.0000, 0.5000, 0.5000], [0.5000, 0.0000, 0.5000], [0.5000, 0.5000, 0.0000], [0.0000, 0.2622, 0.2622], [0.0000, 0.7378, 0.7378], [0.2500, 0.5000, 0.7500], [0.2500, 0.7500, 0.5000], [0.2622, 0.0000, 0.2622], [0.2622, 0.2622, 0.0000], [0.5000, 0.2500, 0.7500], [0.5000, 0.7500, 0.2500], [0.7378, 0.0000, 0.7378], [0.7378, 0.7378, 0.0000], [0.7500, 0.2500, 0.5000], [0.7500, 0.5000, 0.2500]],
  "m_tot_mub_per_cell": 12.4,
  "sg": "Im-3m",
  "final_energy_ev_per_atom": -6.193,
  "dos_ef_per_ev_fu": 7.944
}